# AlTlS2

A relaxed structure of AlTlS2 (PBE-GGA, Alexandria via LeMat-Bulk).

Energy relative to the elements, uncorrected in eV per atom: -0.853
Uncorrected energy in eV/atom: -4.44

The structure in POSCAR format:
```
AlTlS2
1.0
-5.011 4.827 5.852
-1.701 -2.681 1.938
4.558 0.304 4.421
Al Tl S
2 2 4
direct
0.310 0.548 0.892 Al
0.561 0.422 0.365 Al
0.076 0.165 0.460 Tl
0.795 0.805 0.897 Tl
0.700 0.853 0.432 S
0.327 0.539 0.532 S
0.171 0.117 0.992 S
0.543 0.431 0.008 S
```